DFT (PBE+U) results for crystalline YCoW2O8 at its relaxed geometry.

Unit cell a=5.1944 b=5.8632 c=9.9672 alpha=90.00 beta=93.56 gamma=90.00
Closest atoms and distances in Å follow each position.
Element x y z (fractional)
Y (0.0000, 0.0000, 0.0000)  6 O 2.26-2.32
Y (0.5000, 0.3338, 0.5000)  6 O 2.19-2.35
Co (0.0000, 0.9887, 0.5000)  6 O 2.06-2.25
Co (0.5000, 0.3780, 0.0000)  4 O 2.03-2.10
W (0.0031, 0.4897, 0.2467)  4 O 1.88-2.06
W (0.4993, 0.8224, 0.2572)  5 O 1.84-2.05
W (0.5007, 0.8224, 0.7428)  5 O 1.84-2.05
W (0.9969, 0.4897, 0.7533)  4 O 1.88-2.06
O (0.1232, 0.2716, 0.3744)  1 W 1.88
O (0.1711, 0.2958, 0.8908)  1 W 1.96, 1 Co 2.03
O (0.1954, 0.7716, 0.8463)  2 W 1.97-2.13
O (0.1989, 0.7543, 0.3612)  2 W 1.97-2.14
O (0.3013, 0.5714, 0.1374)  2 W 2.01-2.12, 1 Co 2.10
O (0.3270, 0.5415, 0.6535)  2 W 2.05-2.06, 1 Y 2.19
O (0.3457, 0.0137, 0.6121)  1 W 1.86, 1 Co 2.06
O (0.3600, 0.0372, 0.1395)  1 W 1.84
O (0.6400, 0.0372, 0.8605)  1 W 1.84
O (0.6543, 0.0137, 0.3879)  1 W 1.86, 1 Co 2.06
O (0.6730, 0.5415, 0.3465)  2 W 2.05-2.06, 1 Y 2.19
O (0.6987, 0.5714, 0.8626)  2 W 2.01-2.12, 1 Co 2.10
O (0.8011, 0.7543, 0.6388)  2 W 1.97-2.14
O (0.8046, 0.7716, 0.1537)  2 W 1.97-2.13
O (0.8289, 0.2958, 0.1092)  1 W 1.96, 1 Co 2.03
O (0.8768, 0.2716, 0.6256)  1 W 1.88

Output
energy relative to the lowest polymorph listed for this composition	0.0	meV/atom